## RbVTc2O8 (GGA+U)

Data for a relaxed structure of RbVTc2O8.

Properties
- crystal system = trigonal
- VASP energy (eV per atom) = -7.34

a b c (Å): 5.7804 5.7804 7.7400
angles (deg): 90.00 90.00 120.00
Space group P-3 (No. 147)
Asymmetric unit:
Rb 0.0000 0.0000 0.0000
V 0.0000 0.0000 0.5000
Tc 0.3333 0.6667 0.7311
O 0.1618 0.3310 0.6561
O 0.3333 0.6667 0.9571